NaLuNb | OQMD | PBE | relaxed; electronic total energy = -11.7 eV per cell; total moment = 4.358 Bohr magnetons per cell
1.0
0.0000 3.6108 3.6108
3.6108 0.0000 3.6108
3.6108 3.6108 0.0000
Na Lu Nb
1 1 1
direct
0.0000 0.0000 0.0000
0.5000 0.5000 0.5000
0.7500 0.7500 0.7500